Below is crystalline AsW4 at its relaxed geometry, with properties calculated at the GGA-PBE level.

Lattice parameters (Å, degrees): 4.958 4.958 4.958 109.47 109.47 109.47
Sites, in units of the cell vectors:
1 As 0.000 0.000 0.000
2 W 0.500 0.000 0.000
3 W 0.500 0.500 0.500
4 W 0.000 0.500 0.000
5 W 0.000 0.000 0.500

Calculated values
calculated formation energy	1442.9	meV/atom
DOS at the Fermi energy	4.870	states/eV per cell
total magnetic moment	0.00	μB/f.u.

Below is crystalline BaMgCd2Hg5 at its relaxed geometry, with properties calculated at the GGA-PBE level.

Lattice parameters (Å, degrees): 5.324 6.773 8.680 112.97 107.86 90.00
Sites, in units of the cell vectors:
1 Ba 0.000 0.500 0.000
2 Mg 0.500 0.000 0.000
3 Cd 0.188 0.188 0.376
4 Cd 0.812 0.812 0.624
5 Hg 0.650 0.885 0.299
6 Hg 0.350 0.115 0.701
7 Hg 0.350 0.586 0.701
8 Hg 0.650 0.414 0.299
9 Hg 0.000 0.000 0.000

Calculated values
calculated formation energy	-133.7	meV/atom
DOS at the Fermi energy	4.717	states/eV per cell
total magnetic moment	0.00	μB/f.u.